#a
{"formula": "VHI2O", "functional": "GGA+U", "state": "optimized geometry", "total_magnetization_mub_per_atom": 0.440, "cell": [[5.738, 0.000, 0.000], [0.000, 5.738, 0.000], [0.000, 0.000, 3.651]], "species": ["V", "H", "I", "I", "O"], "frac_coords": [[0.000, 0.000, 0.000], [0.500, 0.500, 0.500], [0.000, 0.500, 0.000], [0.500, 0.000, 0.000], [0.000, 0.000, 0.500]]}



#b
{"formula": "VHI2O", "functional": "GGA+U", "state": "optimized geometry", "total_magnetization_mub_per_atom": 0.070, "cell": [[5.471, 0.000, 0.000], [0.000, 5.471, 0.000], [0.000, 0.000, 3.057]], "species": ["V", "H", "I", "I", "O"], "frac_coords": [[0.000, 0.000, 0.000], [0.500, 0.500, 0.500], [0.000, 0.500, 0.500], [0.500, 0.000, 0.500], [0.500, 0.500, 0.000]]}



What should be chosen as the least stable of them? Choose #b.